No. 1
SrCdSi4 GGA-PBE optimized geometry; energy relative to the elements, uncorrected = 0.11 eV/atom; crystal system = cubic
1.0
0.000 3.861 3.861
3.861 0.000 3.861
3.861 3.861 0.000
Sr Cd Si
1 1 4
Cartesian
0.000 0.000 0.000
5.791 5.791 5.791
2.898 2.898 2.898
4.824 4.824 2.898
4.824 2.898 4.824
2.898 4.824 4.824



No. 2
Li2Sn2Rh GGA-PBE optimized geometry; crystal system = monoclinic; formation energy from the elements = -363 meV per atom
1.0
8.957 0.000 0.000
0.000 3.252 0.000
-1.516 0.000 6.491
Li Sn Rh
4 4 2
Cartesian
0.586 0.000 2.325
2.377 1.626 4.166
5.064 1.626 2.325
6.856 0.000 4.166
0.356 0.000 5.247
2.607 1.626 1.245
4.835 1.626 5.247
7.085 0.000 1.245
0.000 1.626 0.000
4.479 0.000 0.000



No. 3
Al2TlSe4 GGA-PBE optimized geometry; energy relative to the elements, uncorrected = -0.64 eV/atom; crystal system = tetragonal
1.0
5.530 0.000 0.000
0.000 5.530 0.000
0.000 0.000 6.830
Al Tl Se
2 1 4
Cartesian
0.000 2.765 0.000
2.765 0.000 0.000
0.000 0.000 3.415
1.527 1.527 5.385
1.527 4.002 1.445
4.002 1.527 1.445
4.002 4.002 5.385



No. 4
Sr3Mg4Tl4 GGA-PBE optimized geometry; crystal system = orthorhombic; formation energy from the elements = -272 meV per atom
1.0
-2.419 4.145 8.218
2.419 -4.145 8.218
2.419 4.145 -8.218
Sr Mg Tl
3 4 4
Cartesian
0.000 0.000 0.000
2.419 0.000 6.208
0.000 4.145 2.010
2.419 1.584 -2.853
2.419 1.584 2.853
0.000 2.561 5.365
0.000 2.561 11.071
0.000 0.000 3.628
2.419 2.538 0.000
0.000 1.607 8.218
0.000 0.000 12.808



No. 5
NdIr4Pb GGA-PBE optimized geometry; crystal system = cubic; formation energy from the elements = -228 meV per atom
1.0
0.000 3.834 3.834
3.834 0.000 3.834
3.834 3.834 0.000
Nd Ir Pb
1 4 1
Cartesian
0.000 0.000 0.000
2.879 2.879 2.879
4.789 4.789 2.879
4.789 2.879 4.789
2.879 4.789 4.789
5.751 5.751 5.751



No. 6
VGaH3 GGA-PBE optimized geometry; crystal system = cubic; distance to the lowest polymorph of the same formula = 0.000 eV/atom
1.0
3.459 0.000 0.000
0.000 3.459 0.000
0.000 0.000 3.459
V Ga H
1 1 3
Cartesian
0.000 0.000 0.000
1.730 1.730 1.730
0.000 0.000 1.730
0.000 1.730 0.000
1.730 0.000 0.000



No. 7
Ac2P4Pd3Rh GGA-PBE optimized geometry; crystal system = tetragonal; formation energy from the elements = -945 meV per atom
1.0
4.398 0.000 0.000
0.000 4.398 0.000
0.000 0.000 9.725
Ac P Pd Rh
2 4 3 1
Cartesian
0.000 2.199 2.392
2.199 0.000 7.334
0.000 0.000 0.000
0.000 2.199 6.088
2.199 0.000 3.637
2.199 2.199 0.000
0.000 2.199 8.611
2.199 0.000 1.114
2.199 2.199 4.863
0.000 0.000 4.863



No. 8
Ba2MoAu GGA-PBE optimized geometry; crystal system = cubic; formation energy from the elements = 648 meV per atom; distance to the lowest polymorph of the same formula = 0.288 eV/atom
1.0
7.800 0.000 0.000
0.000 7.800 0.000
0.000 0.000 7.800
Ba Mo Au
8 4 4
Cartesian
0.000 0.000 0.000
0.000 3.900 3.900
1.950 1.950 1.950
1.950 5.850 5.850
3.900 0.000 3.900
3.900 3.900 0.000
5.850 1.950 5.850
5.850 5.850 1.950
1.950 1.950 5.850
1.950 5.850 1.950
5.850 1.950 1.950
5.850 5.850 5.850
0.000 0.000 3.900
0.000 3.900 0.000
3.900 0.000 0.000
3.900 3.900 3.900



Let's list magnetization in order: 0.00 0.00 0.00 0.00 0.00 0.97 0.00 3.47 μB/f.u..